P.
A plane-wave DFT calculation with PBE-GGA was carried out for an optimized crystal structure of PdRhSCl2.

Computed properties:
* calculated volume: 21.40 Å³/atom
* total magnetization: 0.000 μB per atom
* DOS at the Fermi energy: 11.45 states/eV/cell
* calculated density: 4.85 g/cm³

a = 4.919 Å, b = 4.919 Å, c = 4.423 Å
α = 90.00°, β = 90.00°, γ = 90.00°
Sites, in units of the cell vectors:
S  0.000  0.000  0.500
Cl  0.000  0.500  0.000
Cl  0.500  0.000  0.000
Pd  0.500  0.500  0.500
Rh  0.000  0.000  0.000

---

Q.
A plane-wave DFT calculation with PBE-GGA was carried out for an optimized crystal structure of PdRhSCl2.

Computed properties:
* calculated volume: 21.72 Å³/atom
* total magnetization: 0.508 μB per atom
* DOS at the Fermi energy: 10.37 states/eV/cell
* calculated density: 4.78 g/cm³

a = 4.787 Å, b = 4.787 Å, c = 4.739 Å
α = 90.00°, β = 90.00°, γ = 90.00°
Sites, in units of the cell vectors:
S  0.000  0.000  0.500
Rh  0.500  0.500  0.500
Pd  0.000  0.000  0.000
Cl  0.000  0.500  0.000
Cl  0.500  0.000  0.000

---

Stability ranking, top and bottom: P is the most stable and Q is the least stable.

---

P.
A plane-wave DFT calculation with PBE-GGA was carried out for an optimized crystal structure of Pd3RuCl.

Computed properties:
* calculated volume: 18.16 Å³/atom
* total magnetization: 0.577 μB per atom
* DOS at the Fermi energy: 4.25 states/eV/cell
* calculated density: 8.33 g/cm³

a = 4.495 Å, b = 4.495 Å, c = 4.495 Å
α = 90.00°, β = 90.00°, γ = 90.00°
Sites, in units of the cell vectors:
Cl  0.000  0.000  0.000
Pd  0.000  0.500  0.000
Pd  0.500  0.000  0.000
Pd  0.000  0.000  0.500
Ru  0.500  0.500  0.500

---

Q.
A plane-wave DFT calculation with PBE-GGA was carried out for an optimized crystal structure of Pd3RuCl.

Computed properties:
* calculated volume: 22.39 Å³/atom
* total magnetization: 0.000 μB per atom
* DOS at the Fermi energy: 7.72 states/eV/cell
* calculated density: 6.76 g/cm³

a = 4.819 Å, b = 4.819 Å, c = 4.819 Å
α = 90.00°, β = 90.00°, γ = 90.00°
Sites, in units of the cell vectors:
Cl  0.500  0.500  0.500
Pd  0.500  0.000  0.000
Pd  0.000  0.000  0.500
Pd  0.000  0.500  0.000
Ru  0.000  0.000  0.000

---

Stability ranking, top and bottom: P is the most stable and Q is the least stable.

---

P.
A plane-wave DFT calculation with PBE-GGA was carried out for an optimized crystal structure of PdRuCl3.

Computed properties:
* calculated volume: 23.17 Å³/atom
* total magnetization: 0.662 μB per atom
* DOS at the Fermi energy: 8.25 states/eV/cell
* calculated density: 4.50 g/cm³

a = 4.875 Å, b = 4.875 Å, c = 4.875 Å
α = 90.00°, β = 90.00°, γ = 90.00°
Sites, in units of the cell vectors:
Cl  0.500  0.000  0.000
Cl  0.000  0.500  0.000
Cl  0.000  0.000  0.500
Pd  0.000  0.000  0.000
Ru  0.500  0.500  0.500

---

Q.
A plane-wave DFT calculation with PBE-GGA was carried out for an optimized crystal structure of PdRuCl3.

Computed properties:
* calculated volume: 22.07 Å³/atom
* total magnetization: 0.493 μB per atom
* DOS at the Fermi energy: 6.32 states/eV/cell
* calculated density: 4.72 g/cm³

a = 4.797 Å, b = 4.797 Å, c = 4.797 Å
α = 90.00°, β = 90.00°, γ = 90.00°
Sites, in units of the cell vectors:
Pd  0.500  0.500  0.500
Cl  0.000  0.000  0.500
Cl  0.500  0.000  0.000
Cl  0.000  0.500  0.000
Ru  0.000  0.000  0.000

---

Stability ranking, top and bottom: Q is the most stable and P is the least stable.